(1)
## NbGa2F (GGA-PBE)

Data for NbGa2F after structural relaxation.

a = 6.9531 Å, b = 6.9531 Å, c = 5.5581 Å
α = 51.28°, β = 51.28°, γ = 90.00°
Sites, in units of the cell vectors:
Ga 0.5836 0.1250 0.2500
Ga 0.1664 0.6250 0.2500
Nb 0.0000 0.0000 0.0000
F 0.5000 0.5000 0.0000
F 0.2500 0.7500 0.5000
Ga 0.8750 0.8336 0.7500
Nb 0.7500 0.2500 0.5000
Ga 0.3750 0.4164 0.7500

## Properties
Space group = I-42d, No. 122
Total magnetic moment = 0.0 μB/cell
Distance to the lowest polymorph of the same formula = 0.0 meV per atom
E = -4.862 eV per atom

(2)
## NbGaF3 (GGA-PBE)

Data for NbGaF3 after structural relaxation.

a = 4.2584 Å, b = 4.2584 Å, c = 4.2584 Å
α = 90.00°, β = 90.00°, γ = 90.00°
Site moments in Bohr magnetons follow the coordinates.
Sites, in units of the cell vectors:
F 0.5000 0.0000 0.0000  0.02
Ga 0.0000 0.0000 0.0000  -0.08
F 0.0000 0.5000 0.0000  0.03
F 0.0000 0.0000 0.5000  0.02
Nb 0.5000 0.5000 0.5000  2.99

## Properties
Space group = Pm-3m, No. 221
Total magnetic moment = 3.7 μB/cell
Distance to the lowest polymorph of the same formula = 778.1 meV per atom
E = -4.687 eV per atom

(3)
## NbGa2F (GGA-PBE)

Data for NbGa2F after structural relaxation.

a = 4.5457 Å, b = 4.5457 Å, c = 4.5457 Å
α = 60.00°, β = 60.00°, γ = 60.00°
Site moments in Bohr magnetons follow the coordinates.
Sites, in units of the cell vectors:
Ga 0.7500 0.7500 0.7500  0.00
Nb 0.5000 0.5000 0.5000  0.12
Ga 0.2500 0.2500 0.2500  0.00
F 0.0000 0.0000 0.0000  0.01

## Properties
Space group = Fm-3m, No. 225
Total magnetic moment = 0.1 μB/cell
Distance to the lowest polymorph of the same formula = 279.3 meV per atom
E = -4.582 eV per atom

(4)
## NbGaF6 (GGA-PBE)

Data for NbGaF6 after structural relaxation.

a = 5.7081 Å, b = 5.5353 Å, c = 5.5353 Å
α = 120.00°, β = 90.00°, γ = 90.00°
Sites, in units of the cell vectors:
F 0.1989 0.6705 0.6200
F 0.1989 0.9496 0.3295
F 0.8011 0.9496 0.6200
Nb 0.0000 0.6667 0.3333
F 0.8011 0.6705 0.0504
F 0.1989 0.3800 0.0504
F 0.8011 0.3800 0.3295
Ga 0.5000 0.0000 0.0000

## Properties
Space group = P312, No. 149
Total magnetic moment = 0.0 μB/cell
E = -5.761 eV per atom

Number 1: uncorrected formation energy -363 meV per atom. Number 2: uncorrected formation energy -945 meV per atom. Number 3: uncorrected formation energy -84 meV per atom. Number 4: uncorrected formation energy -2721 meV per atom.